No. 1
Computed, not measured: an optimized crystal structure of Pm6SmZn2 at the GGA-PBE level of DFT.

Cell and atoms, written as CIF:
```
data_Pm6SmZn2
_chemical_formula_sum 'Pm12 Sm2 Zn4'
_space_group_name_H-M_alt 'C 1 2/m 1'
_space_group_IT_number 12
_space_group_name_Hall '-C 2y'
_cell_length_a 12.739
_cell_length_b 3.721
_cell_length_c 12.057
_cell_angle_alpha 90.00
_cell_angle_beta 109.36
_cell_angle_gamma 90.00
loop_
_atom_site_label
_atom_site_type_symbol
_atom_site_fract_x
_atom_site_fract_y
_atom_site_fract_z
Pm1 Pm 0.026 0.000 0.329
Pm2 Pm 0.188 0.500 0.591
Pm3 Pm 0.190 0.500 0.875
Sm1 Sm 0.000 0.000 0.000
Zn1 Zn 0.147 0.500 0.202
```

---

No. 2
# Pm2SmZn GGA-PBE relaxed
data_Pm2SmZn
_chemical_formula_sum 'Pm2 Sm1 Zn1'
_space_group_name_H-M_alt 'P 4/m m m'
_space_group_IT_number 123
_space_group_name_Hall '-P 4 2'
_cell_length_a 3.657
_cell_length_b 3.657
_cell_length_c 8.788
_cell_angle_alpha 90.00
_cell_angle_beta 90.00
_cell_angle_gamma 90.00
loop_
_atom_site_label
_atom_site_type_symbol
_atom_site_fract_x
_atom_site_fract_y
_atom_site_fract_z
Pm1 Pm 0.000 0.000 0.208
Sm1 Sm 0.500 0.500 0.500
Zn1 Zn 0.500 0.500 0.000
# Energy above the most stable polymorph in this dataset   0 meV per atom

---

No. 3
# Pm2SmZn GGA-PBE relaxed
data_Pm2SmZn
_chemical_formula_sum 'Pm2 Sm1 Zn1'
_space_group_name_H-M_alt 'P 4/m m m'
_space_group_IT_number 123
_space_group_name_Hall '-P 4 2'
_cell_length_a 4.846
_cell_length_b 4.846
_cell_length_c 4.836
_cell_angle_alpha 90.00
_cell_angle_beta 90.00
_cell_angle_gamma 90.00
loop_
_atom_site_label
_atom_site_type_symbol
_atom_site_fract_x
_atom_site_fract_y
_atom_site_fract_z
Pm1 Pm 0.000 0.500 0.000
Sm1 Sm 0.000 0.000 0.500
Zn1 Zn 0.500 0.500 0.500
# Energy above the most stable polymorph in this dataset   115 meV per atom

---

No. 4
Computed, not measured: an optimized crystal structure of PmSmZn3 at the GGA-PBE level of DFT.

Cell and atoms, written as CIF:
```
data_PmSmZn3
_chemical_formula_sum 'Pm4 Sm4 Zn12'
_space_group_name_H-M_alt 'C m c m'
_space_group_IT_number 63
_space_group_name_Hall '-C 2c 2'
_cell_length_a 3.613
_cell_length_b 27.529
_cell_length_c 4.565
_cell_angle_alpha 90.00
_cell_angle_beta 90.00
_cell_angle_gamma 90.00
loop_
_atom_site_label
_atom_site_type_symbol
_atom_site_fract_x
_atom_site_fract_y
_atom_site_fract_z
Pm1 Pm 0.000 0.072 0.250
Sm1 Sm 0.000 0.209 0.750
Zn1 Zn 0.000 0.330 0.750
Zn2 Zn 0.000 0.382 0.250
Zn3 Zn 0.000 0.477 0.250
```

---

No. 5
# Pm2SmZn3 GGA-PBE relaxed
data_Pm2SmZn3
_chemical_formula_sum 'Pm2 Sm1 Zn3'
_space_group_name_H-M_alt 'P -3 m 1'
_space_group_IT_number 164
_space_group_name_Hall '-P 3 2"'
_cell_length_a 5.1628
_cell_length_b 5.1628
_cell_length_c 6.3203
_cell_angle_alpha 90.00
_cell_angle_beta 90.00
_cell_angle_gamma 120.00
loop_
_atom_site_label
_atom_site_type_symbol
_atom_site_fract_x
_atom_site_fract_y
_atom_site_fract_z
Pm1 Pm 0.3333 0.6667 0.1680
Sm1 Sm 0.0000 0.0000 0.5000
Zn1 Zn 0.0000 0.0000 0.0000
Zn2 Zn 0.3333 0.6667 0.6664
# Energy above the most stable polymorph in this dataset   0 meV per atom

---

No. 6
# PmSmZn GGA-PBE relaxed
data_PmSmZn
_chemical_formula_sum 'Pm4 Sm4 Zn4'
_space_group_name_H-M_alt 'F -4 3 m'
_space_group_IT_number 216
_space_group_name_Hall 'F -4 2 3'
_cell_length_a 7.146
_cell_length_b 7.146
_cell_length_c 7.146
_cell_angle_alpha 90.00
_cell_angle_beta 90.00
_cell_angle_gamma 90.00
loop_
_atom_site_label
_atom_site_type_symbol
_atom_site_fract_x
_atom_site_fract_y
_atom_site_fract_z
Pm1 Pm 0.000 0.000 0.000
Sm1 Sm 0.000 0.000 0.500
Zn1 Zn 0.250 0.250 0.250
# Energy above the most stable polymorph in this dataset   235 meV per atom

---

No. 7
# Pm3SmZn GGA-PBE relaxed
data_Pm3SmZn
_chemical_formula_sum 'Pm12 Sm4 Zn4'
_space_group_name_H-M_alt 'C 1 2/m 1'
_space_group_IT_number 12
_space_group_name_Hall '-C 2y'
_cell_length_a 12.536
_cell_length_b 3.709
_cell_length_c 13.141
_cell_angle_alpha 90.00
_cell_angle_beta 93.65
_cell_angle_gamma 90.00
loop_
_atom_site_label
_atom_site_type_symbol
_atom_site_fract_x
_atom_site_fract_y
_atom_site_fract_z
Pm1 Pm 0.067 0.000 0.314
Pm2 Pm 0.134 0.000 0.039
Pm3 Pm 0.137 0.500 0.551
Sm1 Sm 0.203 0.000 0.777
Zn1 Zn 0.032 0.500 0.861
# Energy above the most stable polymorph in this dataset   0 meV per atom

---

No. 8
Computed, not measured: an optimized crystal structure of PmSm3Zn8 at the GGA-PBE level of DFT.

Cell and atoms, written as CIF:
```
data_PmSm3Zn8
_chemical_formula_sum 'Pm1 Sm3 Zn8'
_space_group_name_H-M_alt 'P 3 m 1'
_space_group_IT_number 156
_space_group_name_Hall 'P 3 -2"'
_cell_length_a 5.6537
_cell_length_b 5.6537
_cell_length_c 8.6942
_cell_angle_alpha 90.00
_cell_angle_beta 90.00
_cell_angle_gamma 120.00
loop_
_atom_site_label
_atom_site_type_symbol
_atom_site_fract_x
_atom_site_fract_y
_atom_site_fract_z
Pm1 Pm 0.0000 0.0000 0.0000
Sm1 Sm 0.0000 0.0000 0.3933
Sm2 Sm 0.6667 0.3333 0.5005
Sm3 Sm 0.6667 0.3333 0.8931
Zn1 Zn 0.0024 0.5012 0.1970
Zn2 Zn 0.1683 0.3366 0.6961
Zn3 Zn 0.3333 0.6667 0.4463
Zn4 Zn 0.3333 0.6667 0.9469
```

---

Let's list Fermi-level density of states in order: 19.2, 4.1, 6.6, 20.2, 6.1, 22.3, 21.4, 6.9 states/eV/cell.
Let's list formation energy in order: -0.14, -0.15, -0.04, -0.32, -0.32, 0.03, -0.12, -0.31 eV/atom.